Li2TmAlSn2: relaxed, PBE-GGA.

Output
- energy relative to the elements (eV per atom) = -0.416
- density of states at the Fermi level (states/eV/cell) = 1.967

Unit cell a=4.4054 b=8.4537 c=7.2639 alpha=90.00 beta=90.00 gamma=90.00
Closest atoms and distances in Å follow each position.
Space group Pmc2_1 (No. 26)
Symmetry-distinct sites (fractional):
Li 0.0000 0.0799 0.0000 (multiplicity 2)  3 Sn 2.91-3.06
Li 0.5000 0.1673 0.3256 (multiplicity 2)  4 Sn 2.77-2.86
Tm 0.5000 0.4488 0.9569 (multiplicity 2)  5 Sn 3.08-3.17, 4 Al 3.20-3.40, 1 Li 3.38
Al 0.0000 0.3229 0.6327 (multiplicity 2)  4 Sn 2.73-2.86
Sn 0.0000 0.3552 0.2410 (multiplicity 2)  3 Li 2.78-2.91, 2 Al 2.83-2.86
Sn 0.5000 0.1472 0.7188 (multiplicity 2)  2 Al 2.73, 2 Li 2.77-2.86